Entry 1:
The following is a GGA-PBE calculation of an optimized crystal structure of PrGaO3, from the Open Quantum Materials Database.

final energy: -6.96 eV/atom
symmetry: No. 62

Lattice parameters (Å, degrees): 5.685 5.628 8.678 90.00 90.00 90.00
Fractional positions:
1 Ga 0.470 0.487 0.250
2 O 0.862 0.864 0.409
3 Ga 0.970 0.013 0.750
4 Ga 0.030 0.987 0.250
5 O 0.638 0.364 0.409
6 O 0.838 0.696 0.750
7 Pr 0.500 0.000 0.500
8 O 0.638 0.364 0.091
9 O 0.362 0.636 0.909
10 O 0.138 0.136 0.909
11 Ga 0.530 0.513 0.750
12 O 0.138 0.136 0.591
13 Pr 0.000 0.500 0.000
14 Pr 0.500 0.000 0.000
15 O 0.338 0.804 0.250
16 O 0.162 0.304 0.250
17 O 0.662 0.196 0.750
18 Pr 0.000 0.500 0.500
19 O 0.862 0.864 0.091
20 O 0.362 0.636 0.591

=====

Entry 2:
The following is a GGA-PBE calculation of an optimized crystal structure of Gd2Dy3ErCoTe2, from the Open Quantum Materials Database.

final energy: -5.24 eV/atom
symmetry: No. 38

Lattice parameters (Å, degrees): 3.932 8.446 8.446 121.02 90.00 90.00
Fractional positions:
1 Dy 0.000 0.232 0.992
2 Dy 0.000 0.766 0.766
3 Dy 0.000 0.992 0.232
4 Co 0.500 0.031 0.031
5 Te 0.000 0.334 0.662
6 Te 0.000 0.662 0.334
7 Er 0.500 0.386 0.386
8 Gd 0.500 0.595 0.000
9 Gd 0.500 0.000 0.595

=====

Entry 3:
The following is a GGA-PBE calculation of an optimized crystal structure of Li2Sc2GaNi2Ge, from the Open Quantum Materials Database.

final energy: -4.96 eV/atom
symmetry: No. 115

Lattice parameters (Å, degrees): 4.305 4.305 6.099 90.00 90.00 90.00
Fractional positions:
1 Li 0.500 0.000 0.750
2 Sc 0.000 0.000 0.500
3 Ga 0.000 0.000 0.000
4 Ge 0.500 0.500 0.500
5 Ni 0.500 0.000 0.251
6 Li 0.000 0.500 0.250
7 Ni 0.000 0.500 0.749
8 Sc 0.500 0.500 0.000